The following is a GGA-PBE calculation of an optimized crystal structure of YTlCl2, from the Alexandria database.

Values from the calculation:
The value obtained for the uncorrected formation energy is -1.035 eV per atom. The offset from the most stable computed form comes out at 1.21 eV/f.u. Its density of states at the Fermi level is 0.59 states/eV/f.u. The value obtained for the energy is -4.17 eV per atom.

Cell lengths 3.692, 5.786, 4.661 Å; angles 90.00, 90.00, 90.00 degrees
Sites, in units of the cell vectors:
Cl (0.500, 0.500, 0.000)
Cl (0.000, 0.000, 0.000)
Tl (0.500, 0.000, 0.500)
Y (0.000, 0.500, 0.500)